1.
This record from Alexandria via LeMat-Bulk describes an optimized crystal structure of HfScNb2. The functional is PBE.

Structure (POSCAR):
```
HfScNb2
1.0
4.724 0.000 0.000
0.000 4.136 0.000
0.000 0.000 4.136
Sc Nb Hf
1 2 1
Cartesian
2.362 2.068 2.068
0.000 0.000 2.068
0.000 2.068 0.000
2.362 0.000 0.000
```

Computed properties:
DFT total energy   -8.9367 eV per atom
N(E_F)   4.82 states/eV/cell
Calculated formation energy   0.17 eV/atom


2.
This record from Alexandria via LeMat-Bulk describes an optimized crystal structure of HfScNb3. The functional is PBE.

Structure (POSCAR):
```
HfScNb3
1.0
4.767 0.000 0.000
0.000 4.767 0.000
0.000 0.000 4.767
Sc Nb Hf
1 3 1
Cartesian
0.000 0.000 0.000
0.000 2.383 0.000
0.000 0.000 2.383
2.383 0.000 0.000
2.383 2.383 2.383
```

Computed properties:
DFT total energy   -7.9241 eV per atom
N(E_F)   7.35 states/eV/cell
Calculated formation energy   1.37 eV/atom


3.
This record from Alexandria via LeMat-Bulk describes an optimized crystal structure of HfSc3Nb. The functional is PBE.

Structure (POSCAR):
```
HfSc3Nb
1.0
-2.133 3.942 -2.241
-4.408 -1.223 2.044
1.061 2.842 3.988
Sc Nb Hf
3 1 1
Cartesian
-2.204 -0.611 1.022
0.531 1.421 1.994
-1.066 1.971 -1.121
0.000 0.000 0.000
-2.740 2.780 1.896
```

Computed properties:
DFT total energy   -7.0342 eV per atom
N(E_F)   8.34 states/eV/cell
Calculated formation energy   0.77 eV/atom


4.
This record from Alexandria via LeMat-Bulk describes an optimized crystal structure of Hf3ScNb. The functional is PBE.

Structure (POSCAR):
```
Hf3ScNb
1.0
-1.901 -3.921 2.613
-2.519 -1.535 -4.137
3.982 -2.844 -1.370
Sc Nb Hf
1 1 3
Cartesian
-0.220 -4.150 -1.447
0.000 0.000 0.000
-1.260 -0.767 -2.068
1.991 -1.422 -0.685
-0.951 -1.961 1.306
```

Computed properties:
DFT total energy   -8.4176 eV per atom
N(E_F)   8.89 states/eV/cell
Calculated formation energy   0.83 eV/atom


- Which of these has the highest N(E_F)?
  Hf3ScNb


- The highest calculated formation energy belongs to which entry?
  HfScNb3